VASP calculation (PBE) on a relaxed structure of RbMg2Tl7.

The structure in POSCAR format:
```
RbMg2Tl7
1.0
4.446 -8.164 0.000
4.446 8.164 0.000
0.000 0.000 5.202
Rb Mg Tl
1 2 7
Cartesian
0.000 0.000 0.000
4.446 2.942 2.601
4.446 -2.942 2.601
1.620 2.399 2.601
4.446 4.246 0.000
1.620 -2.399 2.601
4.446 0.000 2.601
7.272 2.399 2.601
4.446 -4.246 0.000
7.272 -2.399 2.601
```

magnetic moment: 0.000 μB per atom
formation enthalpy at 0 K: 0.134 eV/atom
crystal system: orthorhombic
DFT total energy: -1.938 eV/atom